Entry 1:
This record from Alexandria via LeMat-Bulk describes an optimized crystal structure of Tb2ThAg. The functional is PBE-GGA.

Cell and atoms, written as POSCAR:
```
Tb2ThAg
1.0
1.775 1.025 10.626
-1.775 1.025 10.626
0.000 -2.050 10.626
Tb Th Ag
2 1 1
Direct
0.000 0.000 0.000 Tb
0.185 0.185 0.185 Tb
0.426 0.426 0.426 Th
0.592 0.592 0.592 Ag
```

The value obtained for the theoretical density is 9.417 g/cm3. As for the formation energy: 0.02 eV per atom. The value obtained for the energy above the most stable polymorph in this dataset is 63 kJ/mol of formula units.

***

Entry 2:
This record from Alexandria via LeMat-Bulk describes an optimized crystal structure of Tb2Th2Ag. The functional is PBE-GGA.

Cell and atoms, written as POSCAR:
```
Tb2Th2Ag
1.0
-1.800 1.800 11.203
1.800 -1.800 11.203
1.800 1.800 -11.203
Tb Th Ag
2 2 1
Direct
0.084 0.084 0.000 Tb
0.916 0.916 0.000 Tb
0.304 0.304 0.000 Th
0.696 0.696 0.000 Th
0.500 0.500 0.000 Ag
```

The value obtained for the theoretical density is 10.178 g/cm3. As for the formation energy: -0.10 eV per atom.